No. 1
The following is a PBE calculation of TbCeGe2 after structural relaxation, from the Alexandria database.

The structure in POSCAR format:
```
TbCeGe2
1.0
-2.6270 2.2131 -2.7724
-3.2358 -2.1120 -2.1341
-5.9565 1.3067 3.1730
Tb Ge Ce
1 2 1
direct
0.4954 0.4954 0.5137 Tb
0.0891 0.0891 0.7327 Ge
0.2460 0.2460 0.2620 Ge
0.6695 0.6695 0.9916 Ce
```

SG	R3m, No. 160
ΔH_f (0 K)	-567	meV/atom
calculated volume	26.93	A^3/atom
total magnetization	0.5	μB per cell
calculated total energy	-0.2027	hartree per atom

***

No. 2
The following is a PBE calculation of TbCe2Ge after structural relaxation, from the Alexandria database.

The structure in POSCAR format:
```
TbCe2Ge
1.0
5.0287 0.0000 0.0000
0.0000 4.4103 0.0000
0.0000 0.0000 4.4103
Ce Tb Ge
2 1 1
direct
0.0000 0.5000 0.0000 Ce
0.0000 0.0000 0.5000 Ce
0.5000 0.5000 0.5000 Tb
0.5000 0.0000 0.0000 Ge
```

SG	P4/mmm, No. 123
energy above the lowest structure with this stoichiometry	92	meV/atom
ΔH_f (0 K)	-375	meV/atom
calculated volume	24.45	A^3/atom
total magnetization	0.7	μB per cell
calculated total energy	-0.2078	hartree per atom

***

No. 3
The following is a PBE calculation of TbCeGe2 after structural relaxation, from the Alexandria database.

The structure in POSCAR format:
```
TbCeGe2
1.0
3.3575 0.0000 0.0000
0.0000 3.3575 0.0000
0.0000 0.0000 8.1374
Ce Ge Tb
1 2 1
direct
0.5000 0.5000 0.0000 Ce
0.0000 0.0000 0.7459 Ge
0.0000 0.0000 0.2541 Ge
0.5000 0.5000 0.5000 Tb
```

SG	P4/mmm, No. 123
ΔH_f (0 K)	-634	meV/atom
calculated volume	22.93	A^3/atom
total magnetization	0.7	μB per cell
calculated total energy	-0.2052	hartree per atom

***

No. 4
The following is a PBE calculation of Tb2CeGe after structural relaxation, from the Alexandria database.

The structure in POSCAR format:
```
Tb2CeGe
1.0
-2.9525 3.2449 0.9364
-2.3094 -0.9383 -4.0300
-2.7192 -3.1345 2.2881
Ce Ge Tb
1 1 2
direct
0.5000 0.5000 0.5000 Ce
0.5000 0.0000 0.0000 Ge
0.0000 0.0000 0.5000 Tb
0.0000 0.5000 0.0000 Tb
```

SG	P4/mmm, No. 123
energy above the lowest structure with this stoichiometry	0	meV/atom
ΔH_f (0 K)	-334	meV/atom
calculated volume	25.18	A^3/atom
total magnetization	0.0	μB per cell
calculated total energy	-0.1943	hartree per atom

***

No. 5
The following is a PBE calculation of TbCe5Ge5 after structural relaxation, from the Alexandria database.

The structure in POSCAR format:
```
TbCe5Ge5
1.0
5.9380 0.0000 0.0000
-2.9690 6.6223 -0.0626
0.0000 -2.5506 7.9657
Ge Tb Ce
5 1 5
direct
0.8316 0.6632 0.1703 Ge
0.1684 0.3368 0.8297 Ge
0.1672 0.3344 0.3373 Ge
0.8328 0.6656 0.6627 Ge
0.5000 0.0000 0.0000 Ge
0.0000 0.0000 0.0000 Tb
0.3338 0.6675 0.1662 Ce
0.6662 0.3325 0.8338 Ce
0.6641 0.3282 0.3333 Ce
0.3359 0.6718 0.6667 Ce
0.0000 0.0000 0.5000 Ce
```

SG	C2/m, No. 12
ΔH_f (0 K)	-557	meV/atom
calculated volume	28.39	A^3/atom
total magnetization	2.0	μB per cell
calculated total energy	-0.2122	hartree per atom

***

No. 6
The following is a PBE calculation of TbCe2Ge after structural relaxation, from the Alexandria database.

The structure in POSCAR format:
```
TbCe2Ge
1.0
3.2352 0.0000 0.0000
1.6176 2.8018 0.0000
1.6176 0.9339 11.4270
Ce Tb Ge
2 1 1
direct
0.0938 0.0938 0.7186 Ce
0.9062 0.9062 0.2814 Ce
0.0000 0.0000 0.0000 Tb
0.5000 0.5000 0.5000 Ge
```

SG	R-3m, No. 166
energy above the lowest structure with this stoichiometry	491	meV/atom
ΔH_f (0 K)	25	meV/atom
calculated volume	25.90	A^3/atom
total magnetization	0.0	μB per cell
calculated total energy	-0.1931	hartree per atom

***

No. 7
The following is a PBE calculation of Tb2CeGe after structural relaxation, from the Alexandria database.

The structure in POSCAR format:
```
Tb2CeGe
1.0
-1.5570 -1.5421 -2.8682
1.4672 -2.9450 -1.4844
-5.4911 -7.2777 4.6225
Tb Ce Ge
2 1 1
direct
0.7364 0.7364 0.7909 Tb
0.2636 0.2636 0.2091 Tb
0.5000 0.5000 0.5000 Ce
0.0000 0.0000 0.0000 Ge
```

SG	R-3m, No. 166
energy above the lowest structure with this stoichiometry	161	meV/atom
ΔH_f (0 K)	-173	meV/atom
calculated volume	28.23	A^3/atom
total magnetization	1.1	μB per cell
calculated total energy	-0.1884	hartree per atom

***

No. 8
The following is a PBE calculation of TbCe2Ge after structural relaxation, from the Alexandria database.

The structure in POSCAR format:
```
TbCe2Ge
1.0
-2.1791 -1.8208 3.1844
2.5079 -3.4917 -0.2804
5.7494 6.0696 7.4048
Ce Tb Ge
4 2 2
direct
0.7500 0.3993 0.8781 Ce
0.2500 0.9838 0.8741 Ce
0.7500 0.0162 0.1259 Ce
0.2500 0.6007 0.1219 Ce
0.7500 0.6973 0.3945 Tb
0.2500 0.3027 0.6055 Tb
0.2500 0.1766 0.3333 Ge
0.7500 0.8234 0.6667 Ge
```

SG	P2_1/m, No. 11
energy above the lowest structure with this stoichiometry	0	meV/atom
ΔH_f (0 K)	-467	meV/atom
calculated volume	25.22	A^3/atom
total magnetization	0.0	μB per cell
calculated total energy	-0.2112	hartree per atom

***

No. 9
The following is a PBE calculation of TbCeGe after structural relaxation, from the Alexandria database.

The structure in POSCAR format:
```
TbCeGe
1.0
4.1138 0.0000 -0.8579
-0.1789 4.1099 -0.8579
-0.2810 -0.2935 8.9451
Ge Ce Tb
2 2 2
direct
0.6399 0.6399 0.2799 Ge
0.3601 0.3601 0.7201 Ge
0.5000 0.0000 0.0000 Ce
0.0000 0.5000 0.0000 Ce
0.1798 0.1798 0.3597 Tb
0.8202 0.8202 0.6404 Tb
```

SG	I4/mmm, No. 139
ΔH_f (0 K)	-682	meV/atom
calculated volume	24.86	A^3/atom
total magnetization	0.0	μB per cell
calculated total energy	-0.2110	hartree per atom

***

No. 10
The following is a PBE calculation of TbCe5Ge4 after structural relaxation, from the Alexandria database.

The structure in POSCAR format:
```
TbCe5Ge4
1.0
4.5818 0.0000 0.0000
0.0000 7.2929 -1.8081
-2.2909 -2.9504 9.0116
Ce Ge Tb
5 4 1
direct
0.1473 0.8232 0.2945 Ce
0.5000 0.5000 0.0000 Ce
0.8016 0.6133 0.6031 Ce
0.8527 0.1768 0.7055 Ce
0.1984 0.3867 0.3969 Ce
0.6803 0.1126 0.3607 Ge
0.0315 0.2992 0.0630 Ge
0.3197 0.8874 0.6393 Ge
0.9685 0.7008 0.9370 Ge
0.5000 0.0000 0.0000 Tb
```

SG	C2/m, No. 12
ΔH_f (0 K)	-483	meV/atom
calculated volume	27.67	A^3/atom
total magnetization	5.3	μB per cell
calculated total energy	-0.2117	hartree per atom

***

No. 11
The following is a PBE calculation of TbCeGe after structural relaxation, from the Alexandria database.

The structure in POSCAR format:
```
TbCeGe
1.0
4.1238 0.0000 0.0000
0.0000 4.7599 0.0000
0.0000 -2.3800 4.1222
Ge Tb Ce
1 1 1
direct
0.3946 0.3333 0.6667 Ge
0.5734 0.6667 0.3333 Tb
0.0320 0.0000 0.0000 Ce
```

SG	P3m1, No. 156
ΔH_f (0 K)	-314	meV/atom
calculated volume	26.97	A^3/atom
total magnetization	1.1	μB per cell
calculated total energy	-0.1975	hartree per atom

***

No. 12
The following is a PBE calculation of TbCeGe2 after structural relaxation, from the Alexandria database.

The structure in POSCAR format:
```
TbCeGe2
1.0
-0.6922 3.4732 2.5743
1.4597 -2.0466 3.1537
5.3420 0.0936 -2.4117
Ce Ge Tb
1 2 1
direct
0.7205 0.0000 0.9800 Ce
0.1662 0.5000 0.8715 Ge
0.9982 0.0000 0.5355 Ge
0.4461 0.5000 0.4311 Tb
```

SG	Amm2, No. 38
ΔH_f (0 K)	-780	meV/atom
calculated volume	24.01	A^3/atom
total magnetization	0.7	μB per cell
calculated total energy	-0.2106	hartree per atom

***

No. 13
The following is a PBE calculation of Tb5Ce5Ge6 after structural relaxation, from the Alexandria database.

The structure in POSCAR format:
```
Tb5Ce5Ge6
1.0
-4.2243 0.0910 -4.5434
-5.1760 -5.2407 4.7075
-0.6722 8.6791 0.7989
Tb Ge Ce
5 6 5
direct
0.0000 0.7526 0.0012 Tb
0.5000 0.9981 0.2520 Tb
0.5000 0.2520 0.9981 Tb
0.5000 0.7490 0.7490 Tb
0.0000 0.0012 0.7526 Tb
0.0000 0.3819 0.9982 Ge
0.5000 0.6118 0.9989 Ge
0.5000 0.9989 0.6118 Ge
0.5000 0.3847 0.3847 Ge
0.0000 0.6246 0.6246 Ge
0.0000 0.9982 0.3819 Ge
0.2239 0.6642 0.3333 Ce
0.7761 0.3333 0.6642 Ce
0.7761 0.6642 0.3333 Ce
0.2239 0.3333 0.6642 Ce
0.0000 0.2520 0.2520 Ce
```

SG	Amm2, No. 38
ΔH_f (0 K)	-693	meV/atom
calculated volume	25.65	A^3/atom
total magnetization	3.2	μB per cell
calculated total energy	-0.2104	hartree per atom

***

No. 14
The following is a PBE calculation of TbCe2Ge2 after structural relaxation, from the Alexandria database.

The structure in POSCAR format:
```
TbCe2Ge2
1.0
4.8842 0.0000 0.0000
0.0000 5.7820 -0.2783
0.0000 -1.9216 9.1708
Ce Ge Tb
4 4 2
direct
0.2500 0.7287 0.8649 Ce
0.2500 0.3714 0.4793 Ce
0.7500 0.6286 0.5207 Ce
0.7500 0.2713 0.1351 Ce
0.7500 0.7341 0.0352 Ge
0.2500 0.2659 0.9648 Ge
0.2500 0.9197 0.6007 Ge
0.7500 0.0803 0.3993 Ge
0.7500 0.2191 0.7524 Tb
0.2500 0.7809 0.2476 Tb
```

SG	P2_1/m, No. 11
energy above the lowest structure with this stoichiometry	175	meV/atom
ΔH_f (0 K)	-509	meV/atom
calculated volume	25.64	A^3/atom
total magnetization	1.0	μB per cell
calculated total energy	-0.2078	hartree per atom

***

No. 15
The following is a PBE calculation of TbCe2Ge after structural relaxation, from the Alexandria database.

The structure in POSCAR format:
```
TbCe2Ge
1.0
3.9884 0.0000 0.0000
0.0000 3.9884 0.0000
0.0000 0.0000 6.8535
Ce Ge Tb
2 1 1
direct
0.0000 0.0000 0.8042 Ce
0.0000 0.0000 0.1958 Ce
0.5000 0.5000 0.0000 Ge
0.5000 0.5000 0.5000 Tb
```

SG	P4/mmm, No. 123
energy above the lowest structure with this stoichiometry	140	meV/atom
ΔH_f (0 K)	-327	meV/atom
calculated volume	27.25	A^3/atom
total magnetization	1.6	μB per cell
calculated total energy	-0.2060	hartree per atom

***

No. 16
The following is a PBE calculation of Tb2Ce2Ge3 after structural relaxation, from the Alexandria database.

The structure in POSCAR format:
```
Tb2Ce2Ge3
1.0
-3.5796 2.1540 -0.9561
1.0208 -4.8498 -5.1491
-3.6439 -3.9542 4.7342
Ge Ce Tb
3 2 2
direct
0.0000 0.0000 0.0000 Ge
0.2478 0.4960 0.7504 Ge
0.7522 0.5040 0.2496 Ge
0.3764 0.7526 0.1294 Ce
0.6236 0.2474 0.8706 Ce
0.8676 0.7357 0.6322 Tb
0.1324 0.2643 0.3678 Tb
```

SG	C2/m, No. 12
ΔH_f (0 K)	-549	meV/atom
calculated volume	29.40	A^3/atom
total magnetization	1.8	μB per cell
calculated total energy	-0.2038	hartree per atom

***

No. 17
The following is a PBE calculation of TbCeGe after structural relaxation, from the Alexandria database.

The structure in POSCAR format:
```
TbCeGe
1.0
-0.2406 1.7741 -4.3739
-4.3378 0.5334 -1.7987
-2.7537 8.8246 -0.1295
Ce Ge Tb
2 2 2
direct
0.7122 0.7122 0.0898 Ce
0.2878 0.2878 0.9102 Ce
0.0370 0.0370 0.7424 Ge
0.9630 0.9630 0.2576 Ge
0.2433 0.2433 0.3717 Tb
0.7567 0.7567 0.6283 Tb
```

SG	C2/m, No. 12
ΔH_f (0 K)	-466	meV/atom
calculated volume	27.50	A^3/atom
total magnetization	2.0	μB per cell
calculated total energy	-0.2031	hartree per atom

***

No. 18
The following is a PBE calculation of Tb2Ce3Ge4 after structural relaxation, from the Alexandria database.

The structure in POSCAR format:
```
Tb2Ce3Ge4
1.0
0.4024 -0.5977 7.6981
-7.3448 -1.7706 -4.4497
2.2429 -7.5386 -0.7026
Ge Tb Ce
8 4 6
direct
0.7383 0.9171 0.9647 Ge
0.1196 0.4958 0.8747 Ge
0.2383 0.9171 0.5353 Ge
0.2617 0.0829 0.0353 Ge
0.6196 0.4958 0.6253 Ge
0.8804 0.5042 0.1253 Ge
0.3804 0.5042 0.3747 Ge
0.7617 0.0829 0.4647 Ge
0.0156 0.2386 0.1657 Tb
0.5156 0.2386 0.3343 Tb
0.9844 0.7614 0.8343 Tb
0.4844 0.7614 0.6657 Tb
0.8622 0.7952 0.3170 Ce
0.3622 0.7952 0.1830 Ce
0.5000 0.5000 0.0000 Ce
0.1378 0.2048 0.6830 Ce
0.6378 0.2048 0.8170 Ce
0.0000 0.5000 0.5000 Ce
```

SG	P2_1/c, No. 14
ΔH_f (0 K)	-763	meV/atom
calculated volume	25.16	A^3/atom
total magnetization	4.4	μB per cell
calculated total energy	-0.2140	hartree per atom

***

No. 19
The following is a PBE calculation of TbCe2Ge2 after structural relaxation, from the Alexandria database.

The structure in POSCAR format:
```
TbCe2Ge2
1.0
4.2927 0.0000 0.0000
0.0000 7.7095 0.0000
0.0000 0.0000 7.7095
Ce Ge Tb
4 4 2
direct
0.5000 0.6727 0.8273 Ce
0.5000 0.3273 0.1727 Ce
0.5000 0.1727 0.6727 Ce
0.5000 0.8273 0.3273 Ce
0.0000 0.3731 0.8731 Ge
0.0000 0.8731 0.6269 Ge
0.0000 0.1269 0.3731 Ge
0.0000 0.6269 0.1269 Ge
0.0000 0.5000 0.5000 Tb
0.0000 0.0000 0.0000 Tb
```

SG	P4/mbm, No. 127
energy above the lowest structure with this stoichiometry	0	meV/atom
ΔH_f (0 K)	-683	meV/atom
calculated volume	25.51	A^3/atom
total magnetization	2.6	μB per cell
calculated total energy	-0.2142	hartree per atom

***

No. 20
The following is a PBE calculation of TbCeGe2 after structural relaxation, from the Alexandria database.

The structure in POSCAR format:
```
TbCeGe2
1.0
4.2306 0.0000 0.0000
2.1153 3.6638 0.0000
2.1153 1.2213 6.7763
Tb Ce Ge
1 1 2
direct
0.0000 0.0000 0.0000 Tb
0.5000 0.5000 0.5000 Ce
0.2491 0.2491 0.2526 Ge
0.7509 0.7509 0.7474 Ge
```

SG	R-3m, No. 166
ΔH_f (0 K)	-658	meV/atom
calculated volume	26.26	A^3/atom
total magnetization	0.0	μB per cell
calculated total energy	-0.2061	hartree per atom